# 1
Entry from Alexandria via LeMat-Bulk: a relaxed CaRh2Se crystal (PBE-GGA).

The space group is Imm2 (No. 44) and the conventional cell measures 3.362, 4.523 and 9.238 Å, with angles of 90.00, 90.00 and 90.00 degrees. The asymmetric unit holds Ca at (0.000, 0.000, 0.000), Rh at (0.000, 0.000, 0.534), Rh at (0.000, 0.500, 0.777) and Se at (0.000, 0.500, 0.233).

The value obtained for the magnetic moment is 0.000 μB/f.u. Its total DFT energy (no corrections) is -5.39 eV/atom.


# 2
Entry from Alexandria via LeMat-Bulk: a relaxed Ca4Rh2Se crystal (PBE-GGA).

The space group is I4/mmm (No. 139) and the conventional cell measures 5.535, 5.535 and 13.542 Å, with angles of 90.00, 90.00 and 90.00 degrees. The asymmetric unit holds Ca at (0.000, 0.000, 0.211), Ca at (0.000, 0.500, 0.000), Rh at (0.000, 0.000, 0.406) and Se at (0.000, 0.000, 0.000).

The value obtained for the magnetic moment is 0.000 μB/f.u. Its total DFT energy (no corrections) is -4.18 eV/atom.


# 3
Entry from Alexandria via LeMat-Bulk: a relaxed CaRh2Se crystal (PBE-GGA).

The space group is Pmm2 (No. 25) and the conventional cell measures 3.304, 3.675 and 6.066 Å, with angles of 90.00, 90.00 and 90.00 degrees. The asymmetric unit holds Ca at (0.000, 0.000, 0.000), Rh at (0.000, 0.000, 0.509), Rh at (0.500, 0.500, 0.261) and Se at (0.500, 0.500, 0.657).

The value obtained for the magnetic moment is 0.000 μB/f.u. Its total DFT energy (no corrections) is -5.34 eV/atom.


# 4
Entry from Alexandria via LeMat-Bulk: a relaxed Ca4RhSe2 crystal (PBE-GGA).

The space group is I4/mmm (No. 139) and the conventional cell measures 5.255, 5.255 and 15.295 Å, with angles of 90.00, 90.00 and 90.00 degrees. The asymmetric unit holds Ca at (0.000, 0.000, 0.182), Ca at (0.000, 0.500, 0.000), Rh at (0.000, 0.000, 0.000) and Se at (0.000, 0.000, 0.367).

The value obtained for the magnetic moment is 0.000 μB/f.u. Its total DFT energy (no corrections) is -4.10 eV/atom.


# 5
Entry from Alexandria via LeMat-Bulk: a relaxed CaRhSe crystal (PBE-GGA).

The space group is Imm2 (No. 44) and the conventional cell measures 3.841, 3.891 and 8.381 Å, with angles of 90.00, 90.00 and 90.00 degrees. The asymmetric unit holds Ca at (0.000, 0.000, 0.000), Rh at (0.000, 0.000, 0.361) and Se at (0.000, 0.000, 0.656).

Its excess energy over the best structure of this formula in the dataset is 439 meV per atom. The value obtained for the magnetic moment is 0.339 μB/f.u.


# 6
Entry from Alexandria via LeMat-Bulk: a relaxed CaRhSe4 crystal (PBE-GGA).

The space group is F-43m (No. 216) and the conventional cell measures 8.046, 8.046 and 8.046 Å, with angles of 90.00, 90.00 and 90.00 degrees. The asymmetric unit holds Ca at (0.000, 0.000, 0.000), Rh at (0.250, 0.250, 0.750) and Se at (0.124, 0.124, 0.376).

The value obtained for the magnetic moment is 0.565 μB/f.u. Its total DFT energy (no corrections) is -3.66 eV/atom.